Record 1
# ThPbSe2

An optimized crystal structure of ThPbSe2 (PBE-GGA, Alexandria).

Computed properties:
Its total magnetization is 0.00 μB per formula unit. The density of states at the Fermi level is 2.6 states/eV/cell. The formation energy from raw total energies is -1.0325 eV per atom. The calculation puts the calculated density at 9.52 g cm⁻³. As for the calculated volume: 26.03 Å³/atom. The energy above the most stable polymorph in this dataset is 0.004 eV/atom.

a = 3.7237 Å, b = 3.7237 Å, c = 7.5094 Å
α = 90.00°, β = 90.00°, γ = 90.00°
With the nearest neighbours (Å) after each atom.
Element x y z (fractional)
Th  0.5000  0.5000  0.0000  8 Se 3.09
Se  0.0000  0.0000  0.2162  4 Th 3.09, 1 Se 3.25, 4 Pb 3.39
Pb  0.5000  0.5000  0.5000  8 Se 3.39, 4 Pb 3.72, 2 Th 3.75
Se  0.0000  0.0000  0.7838  4 Th 3.09, 1 Se 3.25, 4 Pb 3.39

Record 2
# ThTl3Pb2Se6

An optimized crystal structure of ThTl3Pb2Se6 (PBE-GGA, Alexandria).

Computed properties:
Its total magnetization is 0.00 μB per formula unit. The density of states at the Fermi level is 10.3 states/eV/cell. The formation energy from raw total energies is -0.7748 eV per atom. The calculation puts the calculated density at 7.70 g cm⁻³. As for the calculated volume: 31.16 Å³/atom.

a = 7.6292 Å, b = 7.6292 Å, c = 7.8270 Å
α = 99.24°, β = 99.24°, γ = 119.93°
With the nearest neighbours (Å) after each atom.
Element x y z (fractional)
Tl  0.5000  0.5000  0.5000  6 Se 3.24-3.35
Se  0.2403  0.2403  0.7732  1 Th 2.93, 2 Pb 3.10, 2 Tl 3.22
Se  0.7597  0.7597  0.2268  1 Th 2.93, 2 Pb 3.10, 2 Tl 3.22
Tl  0.1680  0.8320  0.5000  6 Se 3.22-3.36
Se  0.0732  0.3908  0.2221  1 Th 2.93, 2 Pb 3.08-3.09, 2 Tl 3.22-3.24
Tl  0.8320  0.1680  0.5000  6 Se 3.22-3.36
Th  0.0000  0.0000  0.0000  6 Se 2.93
Pb  0.3341  0.6659  0.0000  6 Se 3.08-3.10
Pb  0.6659  0.3341  0.0000  6 Se 3.08-3.10
Se  0.9268  0.6092  0.7779  1 Th 2.93, 2 Pb 3.08-3.09, 2 Tl 3.22-3.24
Se  0.3908  0.0732  0.2221  1 Th 2.93, 2 Pb 3.08-3.09, 2 Tl 3.22-3.24
Se  0.6092  0.9268  0.7779  1 Th 2.93, 2 Pb 3.08-3.09, 2 Tl 3.22-3.24

Record 3
# ThTl2PbSe4

An optimized crystal structure of ThTl2PbSe4 (PBE-GGA, Alexandria).

Computed properties:
Its total magnetization is 0.00 μB per formula unit. The formation energy from raw total energies is -0.9798 eV per atom. The calculation puts the calculated density at 7.54 g cm⁻³. As for the calculated volume: 32.03 Å³/atom.

a = 4.3872 Å, b = 8.0614 Å, c = 7.6140 Å
α = 72.09°, β = 90.00°, γ = 90.00°
With the nearest neighbours (Å) after each atom.
Element x y z (fractional)
Se  0.0000  0.7149  0.7423  1 Th 2.89, 2 Pb 3.09
Se  0.0000  0.2851  0.2577  1 Th 2.89, 2 Pb 3.09
Tl  0.5000  0.0000  0.5000  6 Se 3.28-3.30
Se  0.5000  0.2896  0.7219  2 Th 2.96, 1 Pb 3.09, 1 Tl 3.28
Pb  0.5000  0.5000  0.0000  6 Se 3.09
Th  0.0000  0.5000  0.5000  6 Se 2.89-2.96
Se  0.5000  0.7104  0.2781  2 Th 2.96, 1 Pb 3.09, 1 Tl 3.28
Tl  0.0000  0.0000  0.0000  6 Se 3.42-3.45

Record 4
# TiPbSe

An optimized crystal structure of TiPbSe (PBE-GGA, Alexandria).

Computed properties:
Its total magnetization is 0.00 μB per formula unit. The density of states at the Fermi level is 8.4 states/eV/cell. The formation energy from raw total energies is -0.5472 eV per atom. The calculation puts the calculated density at 8.40 g cm⁻³. As for the calculated volume: 22.02 Å³/atom. The energy above the most stable polymorph in this dataset is 0.142 eV/atom.

a = 3.4105 Å, b = 12.7763 Å, c = 6.0651 Å
α = 90.00°, β = 90.00°, γ = 90.00°
With the nearest neighbours (Å) after each atom.
Element x y z (fractional)
Ti  0.0000  0.0688  0.5322  4 Se 2.60-2.62
Pb  0.0000  0.2904  0.7440  1 Se 3.02, 3 Ti 3.03-3.11
Ti  0.5000  0.4312  0.0322  4 Se 2.60-2.62
Ti  0.0000  0.9312  0.0322  4 Se 2.60-2.62
Se  0.0000  0.4375  0.3553  4 Ti 2.60-2.62
Ti  0.5000  0.5688  0.5322  4 Se 2.60-2.62
Se  0.5000  0.9375  0.3553  4 Ti 2.60-2.62
Pb  0.5000  0.2096  0.2440  1 Se 3.02, 3 Ti 3.03-3.11
Pb  0.0000  0.7096  0.2440  1 Se 3.02, 3 Ti 3.03-3.11
Se  0.5000  0.0625  0.8553  4 Ti 2.60-2.62
Pb  0.5000  0.7904  0.7440  1 Se 3.02, 3 Ti 3.03-3.11
Se  0.0000  0.5625  0.8553  4 Ti 2.60-2.62